DFT (PBE-GGA) results for a relaxed Tl13Bi2 crystal.

## Properties
- Formation enthalpy at 0 K: 0.09 eV per atom
- Density: 9258 kg/m³
- E above lowest polymorph: 0.097 eV per atom
- Crystal system: trigonal
- V: 36.8 A^3/atom
- E: -2.476 eV per atom

Unit cell a=8.9106 b=8.9106 c=24.0616 alpha=90.00 beta=90.00 gamma=120.00
Space group R-3m (No. 166, hexagonal axes)
Inequivalent atoms, fractional coordinates:
Tl1 0.0000 0.0000 0.0000
Tl2 0.0702 0.5351 0.4215
Tl3 0.0829 0.5414 0.2823
Bi1 0.0000 0.0000 0.1394